Entry from Alexandria: CsBeSbAs2 after structural relaxation (GGA-PBE).

## Properties
Magnetization in Bohr magnetons per cell: 0.00
Raw formation energy in eV per atom: 1.847
Volume in Å³/atom: 32.4

Lattice parameters (Å, degrees): 5.663 5.663 5.047 90.00 90.00 90.00
Atoms (fractional coordinates):
Cs  0.000  0.000  0.000
Be  0.000  0.000  0.500
Sb  0.500  0.500  0.500
As  0.000  0.500  0.000
As  0.500  0.000  0.000

***

Entry from Alexandria: Ca2ZnF after structural relaxation (GGA-PBE).

## Properties
Magnetization in Bohr magnetons per cell: 0.94
Raw formation energy in eV per atom: -0.951
Volume in Å³/atom: 26.8

Lattice parameters (Å, degrees): 9.513 9.513 9.513 22.13 22.13 22.13
Atoms (fractional coordinates):
Ca  0.110  0.110  0.110
Ca  0.890  0.890  0.890
Zn  0.000  0.000  0.000
F  0.500  0.500  0.500

***

Entry from Alexandria: ZnAsCl2 after structural relaxation (GGA-PBE).

## Properties
Magnetization in Bohr magnetons per cell: 0.00
Raw formation energy in eV per atom: -0.376
Volume in Å³/atom: 28.2

Lattice parameters (Å, degrees): 7.519 7.519 7.519 154.52 141.75 46.53
Atoms (fractional coordinates):
Zn  0.000  0.000  0.000
As  0.146  0.646  0.500
Cl  0.601  0.601  0.000
Cl  0.881  0.381  0.500

***

Entry from Alexandria: Sc3AlO after structural relaxation (GGA-PBE).

## Properties
Magnetization in Bohr magnetons per cell: 0.01
Raw formation energy in eV per atom: -0.951
Volume in Å³/atom: 21.3

Lattice parameters (Å, degrees): 5.253 5.253 5.253 110.69 110.69 110.69
Atoms (fractional coordinates):
Sc  0.209  0.209  0.583
Sc  0.209  0.583  0.209
Sc  0.583  0.209  0.209
Al  0.886  0.886  0.886
O  0.515  0.515  0.515

***

Look up the raw formation energy of the third one.
-0.376 eV per atom

***

Among the records above, which one has the highest raw formation energy?
CsBeSbAs2